## Si4TcRh (PBE-GGA)

Data for crystalline Si4TcRh at its relaxed geometry.

Results
Formation energy without anion corrections = 336.1 meV/atom
Total magnetization = 0.00 μB/f.u.
DFT total energy = -6.232 eV/atom

Unit cell a=4.8293 b=4.8293 c=4.8293 alpha=60.00 beta=60.00 gamma=60.00
Last column: nearest neighbours and their distance in Å.
Atoms (fractional coordinates):
Rh  0.0000  0.0000  0.0000  12 Si 2.83, 4 Tc 2.96
Si  0.8753  0.3749  0.3749  6 Si 2.41-2.42
Tc  0.7500  0.7500  0.7500  12 Si 2.83, 4 Rh 2.96
Si  0.3749  0.8753  0.3749  6 Si 2.41-2.42
Si  0.3749  0.3749  0.3749  6 Si 2.41-2.42
Si  0.3749  0.3749  0.8753  6 Si 2.41-2.42